Record 1
# BaAl2Rh (PBE, optimized geometry)
# Formation enthalpy at 0 K = -0.34 eV per atom
data_BaAl2Rh
_cell_length_a 5.646
_cell_length_b 5.646
_cell_length_c 15.027
_cell_angle_alpha 90.00
_cell_angle_beta 90.00
_cell_angle_gamma 90.00
_symmetry_space_group_name_H-M 'I 41/a m d'
_symmetry_Int_Tables_number 141
loop_
_symmetry_equiv_pos_as_xyz
'x,y,z'
'-x,-y,-z'
'-y+1/4,x+3/4,z+1/4'
'y+1/4,-x+3/4,-z+1/4'
'-x+1/2,-y,z+1/2'
'x+1/2,y,-z+1/2'
'y+1/4,-x+1/4,z+3/4'
'-y+1/4,x+1/4,-z+3/4'
'x,-y,-z'
'-x,y,z'
'-y+1/4,-x+1/4,-z+3/4'
'y+1/4,x+1/4,z+3/4'
'-x+1/2,y,-z+1/2'
'x+1/2,-y,z+1/2'
'y+1/4,x+3/4,-z+1/4'
'-y+1/4,-x+3/4,z+1/4'
'x+1/2,y+1/2,z+1/2'
'-x+1/2,-y+1/2,-z+1/2'
'-y+3/4,x+1/4,z+3/4'
'y+3/4,-x+1/4,-z+3/4'
'-x,-y+1/2,z'
'x,y+1/2,-z'
'y+3/4,-x+3/4,z+1/4'
'-y+3/4,x+3/4,-z+1/4'
'x+1/2,-y+1/2,-z+1/2'
'-x+1/2,y+1/2,z+1/2'
'-y+3/4,-x+3/4,-z+1/4'
'y+3/4,x+3/4,z+1/4'
'-x,y+1/2,-z'
'x,-y+1/2,z'
'y+3/4,x+1/4,-z+3/4'
'-y+3/4,-x+1/4,z+3/4'
loop_
_atom_site_label
_atom_site_fract_x
_atom_site_fract_y
_atom_site_fract_z
Ba1 0.000 0.250 0.375
Al1 0.000 0.000 0.000
Rh1 0.000 0.250 0.875



Record 2
# ScZn5Co2 (PBE, optimized geometry)
# Formation enthalpy at 0 K = -0.08 eV per atom
data_ScZn5Co2
_cell_length_a 4.024
_cell_length_b 7.403
_cell_length_c 8.073
_cell_angle_alpha 90.00
_cell_angle_beta 90.00
_cell_angle_gamma 90.00
_symmetry_space_group_name_H-M 'I m m m'
_symmetry_Int_Tables_number 71
_symmetry_space_group_name_Hall '-I 2 2'
loop_
_atom_site_label
_atom_site_fract_x
_atom_site_fract_y
_atom_site_fract_z
Sc1 0.000 0.000 0.000
Zn1 0.000 0.177 0.331
Zn2 0.000 0.500 0.000
Co1 0.000 0.500 0.296



Record 3
# Pr4CI (PBE, optimized geometry)
# E_form (uncorrected) = -1.7 eV/f.u.
data_Pr4CI
_cell_length_a 8.649
_cell_length_b 15.307
_cell_length_c 6.810
_cell_angle_alpha 90.00
_cell_angle_beta 121.67
_cell_angle_gamma 90.00
_symmetry_space_group_name_H-M 'C 1 2/c 1'
_symmetry_Int_Tables_number 15
loop_
_symmetry_equiv_pos_as_xyz
'x,y,z'
'-x,-y,-z'
'-x,y,-z+1/2'
'x,-y,z+1/2'
'x+1/2,y+1/2,z'
'-x+1/2,-y+1/2,-z'
'-x+1/2,y+1/2,-z+1/2'
'x+1/2,-y+1/2,z+1/2'
loop_
_atom_site_label
_atom_site_fract_x
_atom_site_fract_y
_atom_site_fract_z
Pr1 0.180 0.189 0.216
Pr2 0.190 0.061 0.695
C1 0.000 0.064 0.250
I1 0.000 0.425 0.750



Record 4
# Ac2LaBi (PBE, optimized geometry)
# Distance to the lowest polymorph of the same formula = 0.23 eV per formula unit
# Formation enthalpy at 0 K = -0.36 eV per atom
data_Ac2LaBi
_cell_length_a 4.457
_cell_length_b 4.457
_cell_length_c 7.759
_cell_angle_alpha 90.00
_cell_angle_beta 90.00
_cell_angle_gamma 90.00
_symmetry_space_group_name_H-M 'P 4/m m m'
_symmetry_Int_Tables_number 123
_symmetry_space_group_name_Hall '-P 4 2'
loop_
_atom_site_label
_atom_site_fract_x
_atom_site_fract_y
_atom_site_fract_z
Ac1 0.000 0.000 0.225
La1 0.500 0.500 0.500
Bi1 0.500 0.500 0.000